1.
Computed, not measured: a geometry-optimized Ac6TlCo3 structure at the GGA-PBE level of DFT.

Output
Total energy   -97.73 eV for the cell shown
Energy of formation   -0.0533 eV per atom
D(E_F)   14.96 states/eV/cell
Total magnetic moment   0.00 μB/atom

The structure in POSCAR format:
```
Ac6TlCo3
1.0
12.2688 0.0000 0.0000
0.0000 4.1764 0.0000
-3.1245 0.0000 12.7265
Ac Tl Co
12 2 6
direct
0.0042 0.2500 0.1222
0.1127 0.7500 0.4529
0.1901 0.2500 0.7537
0.2986 0.2500 0.2877
0.3203 0.7500 0.0261
0.4216 0.2500 0.5893
0.5784 0.7500 0.4107
0.6797 0.2500 0.9739
0.7014 0.7500 0.7123
0.8099 0.7500 0.2463
0.8873 0.2500 0.5471
0.9958 0.7500 0.8778
0.4544 0.7500 0.8161
0.5456 0.2500 0.1839
0.0257 0.7500 0.6607
0.1566 0.2500 0.9712
0.3485 0.7500 0.4322
0.6515 0.2500 0.5678
0.8434 0.7500 0.0288
0.9743 0.2500 0.3393
```

***

2.
Computed, not measured: a geometry-optimized Ac6TlCo2 structure at the GGA-PBE level of DFT.

Output
Total energy   -41.80 eV for the cell shown
Energy of formation   -0.0640 eV per atom
D(E_F)   9.64 states/eV/cell
Total magnetic moment   0.00 μB/atom

The structure in POSCAR format:
```
Ac6TlCo2
1.0
6.5103 -2.1102 0.0000
6.5103 2.1102 0.0000
-3.1804 0.0000 12.1191
Ac Tl Co
6 1 2
direct
0.0356 0.0356 0.2837
0.2887 0.2887 0.8741
0.3365 0.3365 0.4231
0.6635 0.6635 0.5769
0.7113 0.7113 0.1259
0.9644 0.9644 0.7163
0.0000 0.0000 0.0000
0.3160 0.3160 0.6566
0.6840 0.6840 0.3434
```

***

3.
Computed, not measured: a geometry-optimized Ac8TlCo2 structure at the GGA-PBE level of DFT.

Output
Total energy   -49.15 eV for the cell shown
Energy of formation   0.0267 eV per atom
D(E_F)   13.00 states/eV/cell
Total magnetic moment   0.00 μB/atom

The structure in POSCAR format:
```
Ac8TlCo2
1.0
4.6011 -7.3210 0.0000
4.6011 7.3210 0.0000
-1.5025 0.0000 5.9007
Ac Tl Co
8 1 2
direct
0.0000 0.0000 0.0000
0.0496 0.3114 0.6254
0.1476 0.6338 0.1978
0.3114 0.0496 0.6254
0.4697 0.7318 0.7701
0.6338 0.1476 0.1978
0.7318 0.4697 0.7701
0.7797 0.7797 0.3938
0.3898 0.3898 0.1973
0.1095 0.6719 0.6978
0.6719 0.1095 0.6978
```

***

4.
Computed, not measured: a geometry-optimized AcTlCo structure at the GGA-PBE level of DFT.

Output
Total energy   -27.86 eV for the cell shown
Energy of formation   -0.1166 eV per atom
D(E_F)   6.19 states/eV/cell
Total magnetic moment   0.22 μB/atom

The structure in POSCAR format:
```
AcTlCo
1.0
6.4744 -2.1199 0.0000
6.4744 2.1199 0.0000
-0.6889 0.0000 5.6834
Ac Tl Co
2 2 2
direct
0.1268 0.1268 0.3158
0.8732 0.8732 0.6842
0.4077 0.4077 0.1977
0.5923 0.5923 0.8023
0.2257 0.2257 0.9032
0.7743 0.7743 0.0968
```

***

5.
Computed, not measured: a geometry-optimized Ac3Tl2Co structure at the GGA-PBE level of DFT.

Output
Total energy   -47.90 eV for the cell shown
Energy of formation   0.0357 eV per atom
D(E_F)   13.13 states/eV/cell
Total magnetic moment   0.16 μB/atom

The structure in POSCAR format:
```
Ac3Tl2Co
1.0
6.6425 0.0000 0.0000
0.0000 10.8078 0.0000
0.0000 0.0000 5.4855
Ac Tl Co
6 4 2
direct
0.0000 0.0000 0.0000
0.1490 0.3622 0.0000
0.3510 0.8622 0.5000
0.5000 0.5000 0.5000
0.6490 0.1378 0.5000
0.8510 0.6378 0.0000
0.1549 0.1886 0.5000
0.3451 0.6886 0.0000
0.6549 0.3114 0.0000
0.8451 0.8114 0.5000
0.0000 0.5000 0.5000
0.5000 0.0000 0.0000
```

***

6.
Computed, not measured: a geometry-optimized Ac12Tl5Co2 structure at the GGA-PBE level of DFT.

Output
Total energy   -76.93 eV for the cell shown
Energy of formation   -0.0836 eV per atom
D(E_F)   18.77 states/eV/cell
Total magnetic moment   0.00 μB/atom

The structure in POSCAR format:
```
Ac12Tl5Co2
1.0
9.2160 -4.2673 0.0000
9.2160 4.2673 0.0000
-3.0259 0.0000 10.0294
Ac Tl Co
12 5 2
direct
0.9999 0.9999 0.2040
0.0001 0.0001 0.7960
0.0817 0.5989 0.9141
0.1025 0.5960 0.4251
0.4011 0.9183 0.0859
0.4040 0.8975 0.5749
0.4947 0.4947 0.1804
0.5053 0.5053 0.8196
0.5960 0.1025 0.4251
0.5989 0.0817 0.9141
0.8975 0.4040 0.5749
0.9183 0.4011 0.0859
0.1922 0.1922 0.8394
0.1969 0.1969 0.3626
0.5000 0.5000 0.5000
0.8031 0.8031 0.6374
0.8078 0.8078 0.1606
0.2438 0.7562 0.0000
0.7562 0.2438 0.0000
```

***

7.
Computed, not measured: a geometry-optimized Ac2TlCo structure at the GGA-PBE level of DFT.

Output
Total energy   -17.94 eV for the cell shown
Energy of formation   -0.0619 eV per atom
D(E_F)   3.53 states/eV/cell
Total magnetic moment   0.21 μB/atom

The structure in POSCAR format:
```
Ac2TlCo
1.0
3.7646 0.0000 0.0000
0.0000 3.7646 0.0000
0.0000 0.0000 8.4418
Ac Tl Co
2 1 1
direct
0.0000 0.0000 0.2114
0.0000 0.0000 0.7886
0.5000 0.5000 0.5000
0.5000 0.5000 0.0000
```

***

8.
Computed, not measured: a geometry-optimized Ac5Tl2Co structure at the GGA-PBE level of DFT.

Output
Total energy   -68.02 eV for the cell shown
Energy of formation   -0.2034 eV per atom
D(E_F)   17.94 states/eV/cell
Total magnetic moment   0.00 μB/atom

The structure in POSCAR format:
```
Ac5Tl2Co
1.0
9.0586 0.0000 0.0000
0.0000 12.8579 0.0000
0.0000 0.0000 4.9398
Ac Tl Co
10 4 2
direct
0.0000 0.0000 0.0000
0.1332 0.3047 0.0000
0.1781 0.5682 0.5000
0.3219 0.0682 0.5000
0.3668 0.8047 0.0000
0.5000 0.5000 0.0000
0.6332 0.1953 0.0000
0.6781 0.9318 0.5000
0.8219 0.4318 0.5000
0.8668 0.6953 0.0000
0.0782 0.8298 0.5000
0.4218 0.3298 0.5000
0.5782 0.6702 0.5000
0.9218 0.1702 0.5000
0.0000 0.5000 0.0000
0.5000 0.0000 0.0000
```

***

Number 3 is which compound? Ac8TlCo2